Entry 1:
Below is a relaxed structure of LiNbZn, with properties calculated at the PBE level.

Cell: 12.6392 4.9546 4.9546 Å, 134.45 146.54 33.46°
Element x y z (fractional)
Nb  0.8846  0.0731  0.9269
Nb  0.0149  0.6077  0.3923
Zn  0.3767  0.5778  0.4222
Zn  0.6863  0.6185  0.3815
Li  0.2377  0.0390  0.9610
Li  0.5151  0.1172  0.8828

Density, g/cm³: 5.82
DFT formation energy, kJ/mol of atoms: 9.7


Entry 2:
Below is a relaxed structure of RbNb2Cd2O7, with properties calculated at the PBE level.

Cell: 6.1761 6.1761 9.5096 Å, 71.05 71.05 60.00°
Element x y z (fractional)
Rb  0.5000  0.5000  0.5000
Nb  0.9266  0.9266  0.2202
Nb  0.0734  0.0734  0.7798
Cd  0.7387  0.7387  0.7840
Cd  0.2613  0.2613  0.2160
O  0.1662  0.9385  0.2920
O  0.6033  0.1662  0.2920
O  0.9385  0.6033  0.2920
O  0.3967  0.0615  0.7080
O  0.8338  0.3967  0.7080
O  0.0000  0.0000  0.0000
O  0.0615  0.8338  0.7080

Energy relative to the elements, uncorrected, meV/atom: -1853
Density, g/cm³: 3.47


Entry 3:
Below is a relaxed structure of KMnOs2, with properties calculated at the PBE level.

Cell: 2.7118 4.8146 5.2121 Å, 90.00 90.00 90.00°
Last column: magnetic moment on the atom in μB.
Element x y z (fractional)
K  0.5000  0.0000  0.5000  0.03
Mn  0.0000  0.5000  0.5000  3.65
Os  0.0000  0.0000  0.0000  -0.07
Os  0.5000  0.5000  0.0000  -0.17

Density, g/cm³: 11.58
DFT formation energy, kJ/mol of atoms: 128.0


Entry 4:
Below is a relaxed structure of Pr6Nd5, with properties calculated at the PBE level.

Cell: 9.6180 8.3172 6.4960 Å, 78.94 70.63 54.68°
Element x y z (fractional)
Pr  0.8258  0.0000  0.6750
Pr  0.1742  0.0000  0.3250
Pr  0.3129  0.7326  0.8353
Pr  0.9545  0.7326  0.1647
Pr  0.6871  0.2674  0.1647
Pr  0.0455  0.2674  0.8353
Nd  0.5000  0.0000  0.5000
Nd  0.3714  0.2572  0.0000
Nd  0.6286  0.7428  0.0000
Nd  0.2400  0.5201  0.5000
Nd  0.7600  0.4799  0.5000

Density, g/cm³: 6.50
DFT formation energy, kJ/mol of atoms: 12.2


Entry 5:
Below is a relaxed structure of Ca3Ac2TbTe6, with properties calculated at the PBE level.

Cell: 7.8633 7.8633 7.9813 Å, 99.51 99.51 119.94°
Element x y z (fractional)
Ca  0.1720  0.8280  0.5000
Ca  0.8280  0.1720  0.5000
Ca  0.5000  0.5000  0.5000
Ac  0.3344  0.6656  0.0000
Ac  0.6656  0.3344  0.0000
Tb  0.0000  0.0000  0.0000
Te  0.9139  0.5949  0.7403
Te  0.7698  0.7698  0.2624
Te  0.0861  0.4051  0.2597
Te  0.5949  0.9139  0.7403
Te  0.2302  0.2302  0.7376
Te  0.4051  0.0861  0.2597

Energy relative to the elements, uncorrected, meV/atom: -1506
Density, g/cm³: 6.17


Entry 6:
Below is a relaxed structure of Ce6GaSn5, with properties calculated at the PBE level.

Cell: 4.8743 8.9128 8.9128 Å, 109.90 105.87 105.87°
Last column: magnetic moment on the atom in μB.
Element x y z (fractional)
Ga  0.0000  0.0000  0.0000  -0.02
Ce  0.2449  0.0813  0.4085  0.65
Ce  0.7551  0.5915  0.9187  0.65
Ce  0.7397  0.2397  0.2397  0.66
Ce  0.2603  0.7603  0.7603  0.66
Ce  0.2449  0.4085  0.0813  0.65
Ce  0.7551  0.9187  0.5915  0.65
Sn  0.5000  0.1682  0.8318  -0.03
Sn  0.0000  0.3361  0.6639  -0.03
Sn  0.5000  0.5000  0.5000  -0.03
Sn  0.0000  0.6639  0.3361  -0.03
Sn  0.5000  0.8318  0.1682  -0.03

Density, g/cm³: 7.80
DFT formation energy, kJ/mol of atoms: -55.0